Record 1
# FeTeAu

Crystalline FeTeAu at its relaxed geometry (GGA-PBE, Alexandria).

- E above lowest polymorph: 0.000 eV/atom
- E_form (uncorrected): 196 meV per atom
- Magnetic moment: 2.513 μB per formula unit
- Symmetry: No. 216

a = 4.413 Å, b = 4.413 Å, c = 4.413 Å
α = 60.00°, β = 60.00°, γ = 60.00°
Sites, in units of the cell vectors:
Fe 0.000 0.000 0.000
Te 0.750 0.750 0.750
Au 0.250 0.250 0.250

Record 2
# FeTeAu2

Crystalline FeTeAu2 at its relaxed geometry (GGA-PBE, Alexandria).

- E_form (uncorrected): 320 meV per atom
- Magnetic moment: 2.911 μB per formula unit
- Symmetry: No. 122

a = 6.120 Å, b = 6.120 Å, c = 6.120 Å
α = 101.05°, β = 101.05°, γ = 128.07°
Sites, in units of the cell vectors:
Fe 0.000 0.000 0.000
Fe 0.750 0.250 0.500
Te 0.250 0.750 0.500
Te 0.500 0.500 0.000
Au 0.102 0.625 0.977
Au 0.375 0.352 0.477
Au 0.648 0.125 0.023
Au 0.875 0.898 0.523

Record 3
# FeTeAu

Crystalline FeTeAu at its relaxed geometry (GGA-PBE, Alexandria).

- E above lowest polymorph: 0.100 eV/atom
- E_form (uncorrected): 297 meV per atom
- Magnetic moment: 2.416 μB per formula unit
- Symmetry: No. 156

a = 3.395 Å, b = 3.395 Å, c = 6.109 Å
α = 90.00°, β = 90.00°, γ = 120.00°
Sites, in units of the cell vectors:
Fe 0.000 0.000 0.000
Te 0.333 0.667 0.279
Au 0.667 0.333 0.707

Record 4
# FeTeAu2

Crystalline FeTeAu2 at its relaxed geometry (GGA-PBE, Alexandria).

- E_form (uncorrected): 305 meV per atom
- Magnetic moment: 3.118 μB per formula unit
- Symmetry: No. 12

a = 5.887 Å, b = 5.887 Å, c = 3.789 Å
α = 108.48°, β = 108.48°, γ = 124.05°
Sites, in units of the cell vectors:
Fe 0.000 0.000 0.000
Te 0.500 0.500 0.000
Au 0.000 0.500 0.000
Au 0.500 0.000 0.000

| no. | energy (eV/atom) |
| --- | --- |
| 1 | -4.764 |
| 2 | -4.220 |
| 3 | -4.664 |
| 4 | -4.234 |